[1]
Here is a relaxed structure of CePuAlHg from Alexandria. Energies are from GGA-PBE.

a b c (Å): 5.2773 5.2773 5.2773
angles (deg): 60.00 60.00 60.00
Last column: magnetic moment on the atom in μB.
Fractional coordinates of all 4 atoms:
Al1 0.2500 0.2500 0.2500  -0.02
Hg1 0.7500 0.7500 0.7500  0.05
Ce1 0.5000 0.5000 0.5000  0.84
Pu1 0.0000 0.0000 0.0000  5.50

- magnetic moment (μB per atom) = 1.7770
- formation energy from the elements (eV/f.u.) = -0.6

---

[2]
Here is a relaxed structure of MoIr2Se from Alexandria. Energies are from GGA-PBE.

a b c (Å): 2.8538 2.8538 7.7267
angles (deg): 90.00 90.00 90.00
Fractional coordinates of all 4 atoms:
Ir1 0.0000 0.0000 0.0145
Ir2 0.0000 0.0000 0.4855
Mo1 0.5000 0.5000 0.2500
Se1 0.5000 0.5000 0.7500

- raw total energy (hartree per atom) = -0.29094
- magnetic moment (μB per atom) = 0.0000

---

[3]
Here is a relaxed structure of Tb2Ho5Er3 from Alexandria. Energies are from GGA-PBE.

a b c (Å): 6.6195 10.8549 10.8549
angles (deg): 61.30 72.25 72.25
Fractional coordinates of all 20 atoms:
Tb1 0.0270 0.7379 0.2081
Tb2 0.9730 0.2621 0.7919
Tb3 0.5270 0.2081 0.7379
Tb4 0.4730 0.7919 0.2621
Ho1 0.2500 0.5000 0.5000
Ho2 0.7500 0.5000 0.5000
Ho3 0.4324 0.8176 0.8176
Ho4 0.0676 0.1824 0.1824
Ho5 0.5676 0.1824 0.1824
Ho6 0.9324 0.8176 0.8176
Ho7 0.1692 0.4289 0.2328
Ho8 0.8308 0.5711 0.7672
Ho9 0.6692 0.2328 0.4289
Ho10 0.3308 0.7672 0.5711
Er1 0.2500 0.0000 0.0000
Er2 0.7500 0.0000 0.0000
Er3 0.3276 0.4619 0.8830
Er4 0.6724 0.5381 0.1170
Er5 0.8276 0.8830 0.4619
Er6 0.1724 0.1170 0.5381

- magnetic moment (μB per atom) = 0.0001
- formation energy from the elements (eV/f.u.) = 2.8

---

[4]
Here is a relaxed structure of Cs2KCdI from Alexandria. Energies are from GGA-PBE.

a b c (Å): 7.4738 7.4738 6.7754
angles (deg): 90.00 90.00 90.00
Fractional coordinates of all 5 atoms:
Cs1 0.0000 0.5000 0.0000
Cs2 0.5000 0.0000 0.0000
I1 0.0000 0.0000 0.0000
K1 0.0000 0.0000 0.5000
Cd1 0.5000 0.5000 0.5000

- raw total energy (hartree per atom) = -0.05521
- magnetic moment (μB per atom) = 0.0000